Entry 1:
Material: LaPrIn2
Method: DFT, PBE-GGA
State: optimized geometry

abc: 6.273 6.057 6.292
angles: 90.00 99.54 90.00
Space group P2_1/m (No. 11)
One atom of each set of equivalent atoms:
La 0.145 0.250 0.018 [2 per cell]
Pr 0.480 0.750 0.351 [2 per cell]
In 0.000 0.000 0.500 [2 per cell]
In 0.332 0.750 0.827 [2 per cell]

Computed properties:
Total energy in eV/f.u.: -17.1
Theoretical density in kg/m3: 7177


Entry 2:
Material: LaPrIn2
Method: DFT, PBE-GGA
State: optimized geometry

abc: 3.920 3.920 7.853
angles: 90.00 90.00 90.00
Space group P4/mmm (No. 123)
One atom of each set of equivalent atoms:
La 0.000 0.000 0.000 [1 per cell]
Pr 0.000 0.000 0.500 [1 per cell]
In 0.500 0.500 0.256 [2 per cell]

Computed properties:
Total energy in eV/f.u.: -17.2
Theoretical density in kg/m3: 7009


What did the first record say?
Material: LaPrIn2
Method: DFT, PBE-GGA
State: optimized geometry

abc: 6.273 6.057 6.292
angles: 90.00 99.54 90.00
Space group P2_1/m (No. 11)
One atom of each set of equivalent atoms:
La 0.145 0.250 0.018 [2 per cell]
Pr 0.480 0.750 0.351 [2 per cell]
In 0.000 0.000 0.500 [2 per cell]
In 0.332 0.750 0.827 [2 per cell]

Computed properties:
Total energy in eV/f.u.: -17.1
Theoretical density in kg/m3: 7177


What is the total energy in the second record?
-17.2 eV/f.u.


Look up the theoretical density of the first one.
7177 kg/m3